Entry from Alexandria via LeMat-Bulk: a geometry-optimized BaSrTbTiO6 structure (PBE).

Values from the calculation:
The energy above the most stable polymorph in this dataset comes out at 0 meV per atom. The value obtained for the raw formation energy is -2.91 eV/atom. Its crystal system is triclinic. As for the volume: 14.80 Å³/atom. Its symmetry is P-1 (2). The spin magnetization is 1.09 μB/f.u.

Unit cell a=5.9421 b=5.9429 c=8.3847 alpha=89.86 beta=89.77 gamma=89.76
With the nearest neighbours (Å) after each atom.
Positions (direct):
Ba1 0.0090 0.0042 0.2502  9 O 2.79-3.06
Ba2 0.9910 0.9958 0.7498  9 O 2.79-3.06
Sr1 0.4840 0.4983 0.7507  4 O 2.63-2.67
Sr2 0.5160 0.5017 0.2493  4 O 2.63-2.67
Tb1 0.0000 0.5000 0.5000  6 O 2.25-2.27
Tb2 0.5000 0.0000 0.0000  6 O 2.25-2.27
Ti1 0.0000 0.5000 0.0000  6 O 1.98-2.00
Ti2 0.5000 0.0000 0.5000  6 O 1.97-1.99
O1 0.0400 0.4620 0.7666  1 Ti 1.98
O2 0.2134 0.7540 0.9916  1 Ti 1.98
O3 0.2501 0.7829 0.5127  1 Ti 1.97
O4 0.2603 0.2937 0.0374  1 Ti 2.00
O5 0.2885 0.2551 0.4620  1 Ti 1.99
O6 0.4802 0.0559 0.7334  1 Ti 1.99
O7 0.5198 0.9441 0.2666  1 Ti 1.99
O8 0.7115 0.7449 0.5380  1 Ti 1.99
O9 0.7397 0.7063 0.9626  1 Ti 2.00
O10 0.7499 0.2171 0.4873  1 Ti 1.97
O11 0.7866 0.2460 0.0084  1 Ti 1.98
O12 0.9600 0.5380 0.2334  1 Ti 1.98